DFT (PBE) results for an optimized crystal structure of Si2NiBr.

Lattice parameters (Å, degrees): 3.3220 3.3220 7.2240 90.00 90.00 105.59
Atoms (fractional coordinates):
Si 0.0000 0.0000 0.9636
Si 0.5000 0.5000 0.1441
Br 0.0000 0.0000 0.5856
Ni 0.5000 0.5000 0.8067

Calculated values
- D(E_F) (states/eV/atom) = 0.35
- VASP energy (eV per atom) = -4.34
- total magnetic moment (μB/f.u.) = 0.00
- ρ (g cm⁻³) = 4.212
- E_form (uncorrected) (eV per atom) = 0.239
- excess energy over the best structure of this formula in the dataset (eV per atom) = 0.201


DFT (PBE) results for an optimized crystal structure of Si2NiBr.

Lattice parameters (Å, degrees): 5.9078 5.9078 4.3548 68.35 68.35 27.88
Atoms (fractional coordinates):
Ni 0.2500 0.2500 0.2500
Si 0.9485 0.9485 0.0502
Br 0.7500 0.7500 0.7500
Si 0.5515 0.5515 0.4498

Calculated values
- D(E_F) (states/eV/atom) = 0.48
- VASP energy (eV per atom) = -4.15
- total magnetic moment (μB/f.u.) = 0.00
- ρ (g cm⁻³) = 4.920
- E_form (uncorrected) (eV per atom) = 0.426
- excess energy over the best structure of this formula in the dataset (eV per atom) = 0.388


DFT (PBE) results for an optimized crystal structure of SiNiBr2.

Lattice parameters (Å, degrees): 3.5931 3.5931 8.4326 90.00 90.00 124.55
Atoms (fractional coordinates):
Si 0.5000 0.5000 0.7500
Br 0.0000 0.0000 0.0450
Ni 0.5000 0.5000 0.2500
Br 0.0000 0.0000 0.4550

Calculated values
- D(E_F) (states/eV/atom) = 0.80
- VASP energy (eV per atom) = -3.23
- total magnetic moment (μB/f.u.) = 0.75
- ρ (g cm⁻³) = 4.567
- E_form (uncorrected) (eV per atom) = 0.412
- excess energy over the best structure of this formula in the dataset (eV per atom) = 0.556


DFT (PBE) results for an optimized crystal structure of SiNiBr2.

Lattice parameters (Å, degrees): 4.7733 4.7733 4.7733 60.00 60.00 60.00
Atoms (fractional coordinates):
Br 0.2500 0.2500 0.2500
Si 0.0000 0.0000 0.0000
Ni 0.5000 0.5000 0.5000
Br 0.7500 0.7500 0.7500

Calculated values
- D(E_F) (states/eV/atom) = 0.03
- VASP energy (eV per atom) = -3.04
- total magnetic moment (μB/f.u.) = 0.00
- ρ (g cm⁻³) = 5.324
- E_form (uncorrected) (eV per atom) = 0.596
- excess energy over the best structure of this formula in the dataset (eV per atom) = 0.741


DFT (PBE) results for an optimized crystal structure of Si2NiBr.

Lattice parameters (Å, degrees): 6.9842 6.9842 6.9842 151.36 151.36 40.94
Atoms (fractional coordinates):
Si 0.5000 0.5000 0.0000
Br 0.2500 0.7500 0.5000
Si 0.0000 0.0000 0.0000
Ni 0.7500 0.2500 0.5000

Calculated values
- D(E_F) (states/eV/atom) = 1.03
- VASP energy (eV per atom) = -3.98
- total magnetic moment (μB/f.u.) = 0.00
- ρ (g cm⁻³) = 4.142
- E_form (uncorrected) (eV per atom) = 0.595
- excess energy over the best structure of this formula in the dataset (eV per atom) = 0.556


DFT (PBE) results for an optimized crystal structure of Si2NiBr.

Lattice parameters (Å, degrees): 5.5180 5.5180 5.5180 148.48 126.04 63.84
Atoms (fractional coordinates):
Si 0.0427 0.0427 0.0000
Br 0.4448 0.4448 0.0000
Ni 0.2218 0.7218 0.5000
Si 0.7908 0.2908 0.5000

Calculated values
- D(E_F) (states/eV/atom) = 0.43
- VASP energy (eV per atom) = -4.12
- total magnetic moment (μB/f.u.) = 0.00
- ρ (g cm⁻³) = 4.601
- E_form (uncorrected) (eV per atom) = 0.459
- excess energy over the best structure of this formula in the dataset (eV per atom) = 0.421


DFT (PBE) results for an optimized crystal structure of Si2NiBr.

Lattice parameters (Å, degrees): 3.6066 3.5821 8.8448 35.90 90.00 90.00
Atoms (fractional coordinates):
Si 0.5000 0.5000 0.0000
Si 0.0000 0.0000 0.0000
Ni 0.0000 0.0000 0.5000
Br 0.5000 0.5000 0.5000

Calculated values
- D(E_F) (states/eV/atom) = 0.67
- VASP energy (eV per atom) = -4.16
- total magnetic moment (μB/f.u.) = 0.00
- ρ (g cm⁻³) = 4.827
- E_form (uncorrected) (eV per atom) = 0.412
- excess energy over the best structure of this formula in the dataset (eV per atom) = 0.374


DFT (PBE) results for an optimized crystal structure of Sm8SiNi3Br4.

Lattice parameters (Å, degrees): 8.1680 8.8873 8.1711 117.39 119.99 90.00
Atoms (fractional coordinates):
Sm 0.7610 0.2990 0.5220
Ni 0.0000 0.5000 0.5000
Ni 0.5000 0.5000 0.0000
Sm 0.2391 0.7011 0.9622
Br 0.0000 0.0000 0.5000
Si 0.0000 0.5000 0.0000
Sm 0.7308 0.6922 0.4616
Sm 0.2768 0.2989 0.0378
Sm 0.7232 0.7011 0.9622
Br 0.5000 0.0000 0.5000
Sm 0.7609 0.2989 0.0378
Ni 0.5000 0.5000 0.5000
Sm 0.2692 0.3078 0.5384
Sm 0.2390 0.7010 0.4780
Br 0.0000 0.0000 0.0000
Br 0.5000 0.0000 0.0000

Calculated values
- D(E_F) (states/eV/atom) = 0.74
- VASP energy (eV per atom) = -5.03
- total magnetic moment (μB/f.u.) = 0.00
- ρ (g cm⁻³) = 6.587
- E_form (uncorrected) (eV per atom) = -0.828


Copy entry 2 word for word.
DFT (PBE) results for an optimized crystal structure of Si2NiBr.

Lattice parameters (Å, degrees): 5.9078 5.9078 4.3548 68.35 68.35 27.88
Atoms (fractional coordinates):
Ni 0.2500 0.2500 0.2500
Si 0.9485 0.9485 0.0502
Br 0.7500 0.7500 0.7500
Si 0.5515 0.5515 0.4498

Calculated values
- D(E_F) (states/eV/atom) = 0.48
- VASP energy (eV per atom) = -4.15
- total magnetic moment (μB/f.u.) = 0.00
- ρ (g cm⁻³) = 4.920
- E_form (uncorrected) (eV per atom) = 0.426
- excess energy over the best structure of this formula in the dataset (eV per atom) = 0.388